BaMgAg3 after structural relaxation, computed with PBE.

Results
ΔE to the lowest computed polymorph = 0.000 eV per atom
V = 26.43 A^3/atom
E_form = -0.179 eV/atom

Cell: 6.223 7.004 7.003 Å, 120.01 90.00 90.00°
Fractional coordinates of all 10 atoms:
1 Ag 0.250 0.393 0.197
2 Ag 0.250 0.803 0.607
3 Ag 0.750 0.607 0.803
4 Ag 0.250 0.803 0.197
5 Ag 0.750 0.197 0.803
6 Ag 0.750 0.197 0.393
7 Mg 0.500 0.000 0.000
8 Ba 0.250 0.333 0.667
9 Ba 0.750 0.667 0.333
10 Mg 0.000 0.000 0.000